Run P
Below is crystalline CoPH2Br at its relaxed geometry, with properties calculated at the PBE-GGA level.

Fermi-level density of states, states/eV/f.u.: 1.53

```
data_CoPH2Br
_chemical_formula_sum 'Co1 P1 H2 Br1'
_cell_length_a 3.528
_cell_length_b 3.606
_cell_length_c 5.792
_cell_angle_alpha 89.44
_cell_angle_beta 85.59
_cell_angle_gamma 69.86
_space_group_name_H-M_alt 'P 1'
_space_group_IT_number 1
loop_
_space_group_symop_operation_xyz
'x,y,z'
loop_
_atom_site_label
_atom_site_type_symbol
_atom_site_fract_x
_atom_site_fract_y
_atom_site_fract_z
_atom_site_occupancy
Co1 Co 0.000 0.000 0.000 1
P1 P 0.626 0.638 0.071 1
H1 H 0.679 0.342 0.861 1
H2 H 0.781 0.286 0.241 1
Br1 Br 0.204 0.825 0.609 1
```

***

Run Q
Below is crystalline CoPH2Br at its relaxed geometry, with properties calculated at the PBE-GGA level.

Fermi-level density of states, states/eV/f.u.: 0.79

```
data_CoPH2Br
_chemical_formula_sum 'Co1 P1 H2 Br1'
_cell_length_a 3.911
_cell_length_b 3.911
_cell_length_c 5.784
_cell_angle_alpha 108.45
_cell_angle_beta 108.45
_cell_angle_gamma 49.92
_space_group_name_H-M_alt 'P 1'
_space_group_IT_number 1
loop_
_space_group_symop_operation_xyz
'x,y,z'
loop_
_atom_site_label
_atom_site_type_symbol
_atom_site_fract_x
_atom_site_fract_y
_atom_site_fract_z
_atom_site_occupancy
Co1 Co 0.000 0.000 0.000 1
P1 P 0.277 0.277 0.874 1
H1 H 0.545 0.545 0.009 1
H2 H 0.873 0.873 0.155 1
Br1 Br 0.248 0.248 0.417 1
```

***

Run R
Below is crystalline CoPH2Br at its relaxed geometry, with properties calculated at the PBE-GGA level.

Fermi-level density of states, states/eV/f.u.: 3.04

```
data_CoPH2Br
_chemical_formula_sum 'Co1 P1 H2 Br1'
_cell_length_a 3.106
_cell_length_b 3.106
_cell_length_c 7.009
_cell_angle_alpha 91.75
_cell_angle_beta 91.75
_cell_angle_gamma 89.73
_space_group_name_H-M_alt 'P 1'
_space_group_IT_number 1
loop_
_space_group_symop_operation_xyz
'x,y,z'
loop_
_atom_site_label
_atom_site_type_symbol
_atom_site_fract_x
_atom_site_fract_y
_atom_site_fract_z
_atom_site_occupancy
Co1 Co 0.000 0.000 0.000 1
P1 P 0.503 0.503 0.104 1
H1 H 0.520 0.520 0.309 1
H2 H 0.748 0.748 0.526 1
Br1 Br 0.032 0.032 0.643 1
```

***

Most stable structure, least stable structure: run P, run R.

***

Run P
Below is crystalline CoH2SBr at its relaxed geometry, with properties calculated at the PBE-GGA level.

Fermi-level density of states, states/eV/f.u.: 4.01

```
data_CoH2SBr
_chemical_formula_sum 'Co1 H2 S1 Br1'
_cell_length_a 3.405
_cell_length_b 3.405
_cell_length_c 8.028
_cell_angle_alpha 90.00
_cell_angle_beta 90.00
_cell_angle_gamma 90.00
_space_group_name_H-M_alt 'P 1'
_space_group_IT_number 1
loop_
_space_group_symop_operation_xyz
'x,y,z'
loop_
_atom_site_label
_atom_site_type_symbol
_atom_site_fract_x
_atom_site_fract_y
_atom_site_fract_z
_atom_site_occupancy
Co1 Co 0.000 0.000 0.000 1
H1 H 0.000 0.500 0.500 1
H2 H 0.500 0.000 0.500 1
S1 S 0.500 0.500 0.000 1
Br1 Br 0.500 0.500 0.500 1
```

***

Run Q
Below is crystalline CoH2SBr at its relaxed geometry, with properties calculated at the PBE-GGA level.

Fermi-level density of states, states/eV/f.u.: 2.91

```
data_CoH2SBr
_chemical_formula_sum 'Co1 H2 S1 Br1'
_cell_length_a 3.669
_cell_length_b 3.669
_cell_length_c 4.462
_cell_angle_alpha 90.00
_cell_angle_beta 90.00
_cell_angle_gamma 90.00
_space_group_name_H-M_alt 'P 1'
_space_group_IT_number 1
loop_
_space_group_symop_operation_xyz
'x,y,z'
loop_
_atom_site_label
_atom_site_type_symbol
_atom_site_fract_x
_atom_site_fract_y
_atom_site_fract_z
_atom_site_occupancy
Co1 Co 0.000 0.000 0.000 1
H1 H 0.000 0.500 0.000 1
H2 H 0.500 0.000 0.000 1
S1 S 0.000 0.000 0.500 1
Br1 Br 0.500 0.500 0.500 1
```

***

Most stable structure, least stable structure: run P, run Q.

***

Run P
Below is crystalline CoHSeBr2 at its relaxed geometry, with properties calculated at the PBE-GGA level.

Fermi-level density of states, states/eV/f.u.: 4.09

```
data_CoHSeBr2
_chemical_formula_sum 'Co1 H1 Se1 Br2'
_cell_length_a 5.128
_cell_length_b 5.128
_cell_length_c 4.394
_cell_angle_alpha 90.00
_cell_angle_beta 90.00
_cell_angle_gamma 90.00
_space_group_name_H-M_alt 'P 1'
_space_group_IT_number 1
loop_
_space_group_symop_operation_xyz
'x,y,z'
loop_
_atom_site_label
_atom_site_type_symbol
_atom_site_fract_x
_atom_site_fract_y
_atom_site_fract_z
_atom_site_occupancy
Co1 Co 0.000 0.000 0.000 1
H1 H 0.500 0.500 0.500 1
Se1 Se 0.000 0.000 0.500 1
Br1 Br 0.000 0.500 0.000 1
Br2 Br 0.500 0.000 0.000 1
```

***

Run Q
Below is crystalline CoHSeBr2 at its relaxed geometry, with properties calculated at the PBE-GGA level.

Fermi-level density of states, states/eV/f.u.: 5.74

```
data_CoHSeBr2
_chemical_formula_sum 'Co1 H1 Se1 Br2'
_cell_length_a 5.241
_cell_length_b 5.241
_cell_length_c 3.466
_cell_angle_alpha 90.00
_cell_angle_beta 90.00
_cell_angle_gamma 90.00
_space_group_name_H-M_alt 'P 1'
_space_group_IT_number 1
loop_
_space_group_symop_operation_xyz
'x,y,z'
loop_
_atom_site_label
_atom_site_type_symbol
_atom_site_fract_x
_atom_site_fract_y
_atom_site_fract_z
_atom_site_occupancy
Co1 Co 0.000 0.000 0.000 1
H1 H 0.500 0.500 0.500 1
Se1 Se 0.500 0.500 0.000 1
Br1 Br 0.000 0.500 0.500 1
Br2 Br 0.500 0.000 0.500 1
```

***

Most stable structure, least stable structure: run P, run Q.

***

Run P
Below is crystalline HfCo3Br at its relaxed geometry, with properties calculated at the PBE-GGA level.

Fermi-level density of states, states/eV/f.u.: 5.63

```
data_HfCo3Br
_chemical_formula_sum 'Hf1 Co3 Br1'
_cell_length_a 4.296
_cell_length_b 4.296
_cell_length_c 4.296
_cell_angle_alpha 90.00
_cell_angle_beta 90.00
_cell_angle_gamma 90.00
_space_group_name_H-M_alt 'P 1'
_space_group_IT_number 1
loop_
_space_group_symop_operation_xyz
'x,y,z'
loop_
_atom_site_label
_atom_site_type_symbol
_atom_site_fract_x
_atom_site_fract_y
_atom_site_fract_z
_atom_site_occupancy
Hf1 Hf 0.000 0.000 0.000 1
Co1 Co 0.000 0.500 0.500 1
Co2 Co 0.500 0.000 0.500 1
Co3 Co 0.500 0.500 0.000 1
Br1 Br 0.500 0.500 0.500 1
```

***

Run Q
Below is crystalline HfCo3Br at its relaxed geometry, with properties calculated at the PBE-GGA level.

Fermi-level density of states, states/eV/f.u.: 2.52

```
data_HfCo3Br
_chemical_formula_sum 'Hf1 Co3 Br1'
_cell_length_a 4.706
_cell_length_b 4.706
_cell_length_c 4.706
_cell_angle_alpha 90.00
_cell_angle_beta 90.00
_cell_angle_gamma 90.00
_space_group_name_H-M_alt 'P 1'
_space_group_IT_number 1
loop_
_space_group_symop_operation_xyz
'x,y,z'
loop_
_atom_site_label
_atom_site_type_symbol
_atom_site_fract_x
_atom_site_fract_y
_atom_site_fract_z
_atom_site_occupancy
Hf1 Hf 0.000 0.000 0.000 1
Co1 Co 0.000 0.000 0.500 1
Co2 Co 0.000 0.500 0.000 1
Co3 Co 0.500 0.000 0.000 1
Br1 Br 0.500 0.500 0.500 1
```

***

Most stable structure, least stable structure: run P, run Q.

***

Run P
Below is crystalline HfCoSeBr2 at its relaxed geometry, with properties calculated at the PBE-GGA level.

Fermi-level density of states, states/eV/f.u.: 9.42

```
data_HfCoSeBr2
_chemical_formula_sum 'Hf1 Co1 Se1 Br2'
_cell_length_a 5.304
_cell_length_b 5.304
_cell_length_c 5.148
_cell_angle_alpha 90.00
_cell_angle_beta 90.00
_cell_angle_gamma 90.00
_space_group_name_H-M_alt 'P 1'
_space_group_IT_number 1
loop_
_space_group_symop_operation_xyz
'x,y,z'
loop_
_atom_site_label
_atom_site_type_symbol
_atom_site_fract_x
_atom_site_fract_y
_atom_site_fract_z
_atom_site_occupancy
Hf1 Hf 0.000 0.000 0.000 1
Co1 Co 0.500 0.500 0.500 1
Se1 Se 0.000 0.000 0.500 1
Br1 Br 0.000 0.500 0.000 1
Br2 Br 0.500 0.000 0.000 1
```

***

Run Q
Below is crystalline HfCoSeBr2 at its relaxed geometry, with properties calculated at the PBE-GGA level.

Fermi-level density of states, states/eV/f.u.: 5.92

```
data_HfCoSeBr2
_chemical_formula_sum 'Hf1 Co1 Se1 Br2'
_cell_length_a 4.674
_cell_length_b 4.674
_cell_length_c 4.831
_cell_angle_alpha 90.00
_cell_angle_beta 90.00
_cell_angle_gamma 90.00
_space_group_name_H-M_alt 'P 1'
_space_group_IT_number 1
loop_
_space_group_symop_operation_xyz
'x,y,z'
loop_
_atom_site_label
_atom_site_type_symbol
_atom_site_fract_x
_atom_site_fract_y
_atom_site_fract_z
_atom_site_occupancy
Hf1 Hf 0.000 0.000 0.000 1
Co1 Co 0.500 0.500 0.500 1
Se1 Se 0.500 0.500 0.000 1
Br1 Br 0.000 0.500 0.500 1
Br2 Br 0.500 0.000 0.500 1
```

***

Most stable structure, least stable structure: run P, run Q.

***

Run P
Below is crystalline CoHgBr2 at its relaxed geometry, with properties calculated at the PBE-GGA level.

Fermi-level density of states, states/eV/f.u.: 2.29

```
data_CoHgBr2
_chemical_formula_sum 'Co1 Hg1 Br2'
_cell_length_a 5.609
_cell_length_b 5.609
_cell_length_c 3.883
_cell_angle_alpha 107.78
_cell_angle_beta 107.78
_cell_angle_gamma 89.23
_space_group_name_H-M_alt 'P 1'
_space_group_IT_number 1
loop_
_space_group_symop_operation_xyz
'x,y,z'
loop_
_atom_site_label
_atom_site_type_symbol
_atom_site_fract_x
_atom_site_fract_y
_atom_site_fract_z
_atom_site_occupancy
Co1 Co 0.000 0.000 0.000 1
Hg1 Hg 0.500 0.500 0.000 1
Br1 Br 0.000 0.500 0.000 1
Br2 Br 0.500 0.000 0.000 1
```

***

Run Q
Below is crystalline CoHgBr2 at its relaxed geometry, with properties calculated at the PBE-GGA level.

Fermi-level density of states, states/eV/f.u.: 6.27

```
data_CoHgBr2
_chemical_formula_sum 'Co1 Hg1 Br2'
_cell_length_a 3.948
_cell_length_b 3.952
_cell_length_c 7.124
_cell_angle_alpha 90.00
_cell_angle_beta 90.00
_cell_angle_gamma 90.00
_space_group_name_H-M_alt 'P 1'
_space_group_IT_number 1
loop_
_space_group_symop_operation_xyz
'x,y,z'
loop_
_atom_site_label
_atom_site_type_symbol
_atom_site_fract_x
_atom_site_fract_y
_atom_site_fract_z
_atom_site_occupancy
Co1 Co 0.000 0.000 0.000 1
Hg1 Hg 0.500 0.000 0.500 1
Br1 Br 0.000 0.500 0.500 1
Br2 Br 0.500 0.500 0.000 1
```

***

Most stable structure, least stable structure: run P, run Q.